(1)
Below is a relaxed structure of MnV2F, with properties calculated at the PBE with a Hubbard U level.

Cell and atoms, written as extended XYZ:
```
4
Lattice="0.000 3.342 3.342 3.342 0.000 3.342 3.342 3.342 0.000" Properties=species:S:1:pos:R:3 pbc="T T T"
Mn 0.000 0.000 0.000
V 1.671 1.671 1.671
V 5.013 5.013 5.013
F 3.342 3.342 3.342
```

Results
space-group type	Fm-3m, No. 225
energy above the most stable polymorph in this dataset	0.656	eV/atom

---

(2)
Below is a relaxed structure of MnVF3, with properties calculated at the PBE with a Hubbard U level.

Cell and atoms, written as extended XYZ:
```
5
Lattice="4.215 0.000 0.000 0.000 4.215 0.000 0.000 0.000 4.215" Properties=species:S:1:pos:R:3 pbc="T T T"
Mn 0.000 0.000 0.000
V 2.107 2.107 2.107
F 0.000 2.107 2.107
F 2.107 0.000 2.107
F 2.107 2.107 0.000
```

Results
space-group type	Pm-3m, No. 221
energy above the most stable polymorph in this dataset	0.000	eV/atom

---

(3)
Below is a relaxed structure of MnVF2, with properties calculated at the PBE with a Hubbard U level.

Cell and atoms, written as extended XYZ:
```
4
Lattice="1.720 0.993 6.408 -1.720 0.993 6.408 0.000 -1.986 6.408" Properties=species:S:1:pos:R:3 pbc="T T T"
Mn 0.000 0.000 0.000
V 0.000 0.000 9.612
F 0.000 0.000 7.361
F 0.000 0.000 11.863
```

Results
space-group type	R-3m, No. 166
energy above the most stable polymorph in this dataset	0.000	eV/atom

---

(4)
Below is a relaxed structure of MnVF2, with properties calculated at the PBE with a Hubbard U level.

Cell and atoms, written as extended XYZ:
```
4
Lattice="0.000 2.971 2.971 2.971 0.000 2.971 2.971 2.971 0.000" Properties=species:S:1:pos:R:3 pbc="T T T"
Mn 0.000 0.000 0.000
V 2.971 2.971 2.971
F 1.485 1.485 1.485
F 4.456 4.456 4.456
```

Results
space-group type	Fm-3m, No. 225
energy above the most stable polymorph in this dataset	0.776	eV/atom

---

(5)
Below is a relaxed structure of Mn3VF8, with properties calculated at the PBE with a Hubbard U level.

Cell and atoms, written as extended XYZ:
```
12
Lattice="2.838 -5.064 0.000 2.838 5.064 0.000 0.000 0.000 6.438" Properties=species:S:1:pos:R:3 pbc="T T T"
Mn 0.000 0.000 0.000
Mn 1.419 2.532 4.827
Mn 1.419 -2.532 1.611
V 0.000 0.000 3.219
F 1.350 0.362 4.824
F 2.838 2.935 3.219
F 2.838 2.903 0.000
F 1.350 -0.362 1.614
F 4.325 0.362 1.614
F 2.838 -2.903 0.000
F 2.838 -2.935 3.219
F 4.325 -0.362 4.824
```

Results
space-group type	C222, No. 21
total DFT energy (no corrections)	-76.1	eV/cell

---

(6)
Below is a relaxed structure of MnV4F12, with properties calculated at the PBE with a Hubbard U level.

Cell and atoms, written as extended XYZ:
```
17
Lattice="5.506 -3.983 0.000 5.506 3.983 0.000 -5.281 0.000 5.539" Properties=species:S:1:pos:R:3 pbc="T T T"
Mn 0.000 0.000 0.000
V 2.753 1.991 0.000
V 0.112 1.991 2.770
V 2.753 -1.991 0.000
V 0.112 -1.991 2.770
F -1.455 1.575 3.824
F 2.171 0.000 0.285
F 1.129 2.115 4.494
F 0.406 0.000 2.368
F 4.601 2.115 1.045
F -1.455 -1.575 3.824
F 7.185 1.575 1.715
F 1.129 -2.115 4.494
F 5.324 0.000 3.171
F 4.601 -2.115 1.045
F 3.560 0.000 5.254
F 7.185 -1.575 1.715
```

Results
space-group type	C2/m, No. 12
total DFT energy (no corrections)	-106.3	eV/cell

---

(7)
Below is a relaxed structure of MnV2F, with properties calculated at the PBE with a Hubbard U level.

Cell and atoms, written as extended XYZ:
```
8
Lattice="-3.416 3.416 3.276 3.416 -3.416 3.276 3.416 3.416 -3.276" Properties=species:S:1:pos:R:3 pbc="T T T"
Mn 0.000 0.000 0.000
Mn 0.000 3.416 1.638
V 1.708 -1.011 2.457
V 2.405 1.708 0.819
V 1.708 4.427 -0.819
V 1.011 1.708 4.095
F 3.416 0.000 1.638
F 0.000 0.000 3.276
```

Results
space-group type	I-42d, No. 122
energy above the most stable polymorph in this dataset	0.000	eV/atom

---

(8)
Below is a relaxed structure of MnVF3, with properties calculated at the PBE with a Hubbard U level.

Cell and atoms, written as extended XYZ:
```
5
Lattice="4.226 0.000 0.000 0.000 4.226 0.000 0.000 0.000 4.226" Properties=species:S:1:pos:R:3 pbc="T T T"
Mn 0.000 0.000 0.000
V 2.113 2.113 2.113
F 0.000 0.000 2.113
F 0.000 2.113 0.000
F 2.113 0.000 0.000
```

Results
space-group type	Pm-3m, No. 221
energy above the most stable polymorph in this dataset	0.249	eV/atom

---

(9)
Below is a relaxed structure of MnVF2, with properties calculated at the PBE with a Hubbard U level.

Cell and atoms, written as extended XYZ:
```
8
Lattice="-2.517 2.517 5.514 2.517 -2.517 5.514 2.517 2.517 -5.514" Properties=species:S:1:pos:R:3 pbc="T T T"
Mn 0.000 0.000 0.000
Mn 0.000 2.517 2.757
V 2.517 0.000 2.757
V 0.000 0.000 5.514
F 1.259 -1.240 4.135
F 1.278 1.259 1.378
F 1.259 3.757 -1.378
F 1.240 1.259 6.892
```

Results
space-group type	I-42d, No. 122
energy above the most stable polymorph in this dataset	0.263	eV/atom

---

(10)
Below is a relaxed structure of MnVZn2F8, with properties calculated at the PBE with a Hubbard U level.

Cell and atoms, written as extended XYZ:
```
12
Lattice="-3.380 3.380 3.609 3.380 -3.380 3.609 3.380 3.380 -3.609" Properties=species:S:1:pos:R:3 pbc="T T T"
Mn 0.000 0.000 0.000
V 3.380 0.000 1.805
Zn 0.000 0.000 3.609
Zn 0.000 3.380 1.805
F 3.380 1.356 -0.424
F 2.069 3.380 -2.086
F 1.311 0.000 1.523
F 1.356 3.380 0.424
F 2.024 0.000 4.033
F 3.380 2.069 2.086
F 0.000 2.024 3.185
F 0.000 1.311 5.696
```

Results
space-group type	I-4m2, No. 119
total DFT energy (no corrections)	-60.4	eV/cell

---

(11)
Below is a relaxed structure of MnVZnF2, with properties calculated at the PBE with a Hubbard U level.

Cell and atoms, written as extended XYZ:
```
5
Lattice="3.756 0.000 0.000 0.000 3.756 0.000 0.000 0.000 6.885" Properties=species:S:1:pos:R:3 pbc="T T T"
Mn 0.000 0.000 0.000
V 1.878 1.878 0.000
Zn 1.878 1.878 3.442
F 0.000 1.878 3.442
F 1.878 0.000 3.442
```

Results
space-group type	P4/mmm, No. 123
total DFT energy (no corrections)	-17.3	eV/cell

---

(12)
Below is a relaxed structure of Mn2WF, with properties calculated at the PBE with a Hubbard U level.

Cell and atoms, written as extended XYZ:
```
8
Lattice="-3.406 3.406 3.064 3.406 -3.406 3.064 3.406 3.406 -3.064" Properties=species:S:1:pos:R:3 pbc="T T T"
Mn 5.109 1.218 -0.766
Mn 1.218 1.703 0.766
Mn -1.703 2.188 2.298
Mn 2.188 1.703 3.830
W 3.406 0.000 1.532
W 0.000 0.000 3.064
F 0.000 0.000 0.000
F 0.000 3.406 1.532
```

Results
space-group type	I-42d, No. 122
energy above the most stable polymorph in this dataset	0.000	eV/atom

---

(13)
Below is a relaxed structure of MnWF2, with properties calculated at the PBE with a Hubbard U level.

Cell and atoms, written as extended XYZ:
```
4
Lattice="0.000 3.067 3.067 3.067 0.000 3.067 3.067 3.067 0.000" Properties=species:S:1:pos:R:3 pbc="T T T"
Mn 0.000 0.000 0.000
W 3.067 3.067 3.067
F 1.533 1.533 1.533
F 4.600 4.600 4.600
```

Results
space-group type	Fm-3m, No. 225
energy above the most stable polymorph in this dataset	0.528	eV/atom

---

(14)
Below is a relaxed structure of Mn3WF, with properties calculated at the PBE with a Hubbard U level.

Cell and atoms, written as extended XYZ:
```
5
Lattice="5.340 0.000 0.000 0.000 5.340 0.000 0.000 0.000 5.340" Properties=species:S:1:pos:R:3 pbc="T T T"
Mn 0.000 0.000 2.670
Mn 0.000 2.670 0.000
Mn 2.670 0.000 0.000
W 0.000 0.000 0.000
F 2.670 2.670 2.670
```

Results
space-group type	Pm-3m, No. 221
energy above the most stable polymorph in this dataset	0.828	eV/atom

---

(15)
Below is a relaxed structure of MnW2F, with properties calculated at the PBE with a Hubbard U level.

Cell and atoms, written as extended XYZ:
```
8
Lattice="-3.179 3.179 2.905 3.179 -3.179 2.905 3.179 3.179 -2.905" Properties=species:S:1:pos:R:3 pbc="T T T"
Mn 0.000 0.000 0.000
Mn 0.000 3.179 1.453
W 1.589 -1.389 2.179
W 1.790 1.589 0.726
W 1.589 4.568 -0.726
W 1.389 1.589 3.631
F 3.179 0.000 1.453
F 0.000 0.000 2.905
```

Results
space-group type	I-42d, No. 122
energy above the most stable polymorph in this dataset	0.680	eV/atom

---

(16)
Below is a relaxed structure of Mn2WF, with properties calculated at the PBE with a Hubbard U level.

Cell and atoms, written as extended XYZ:
```
4
Lattice="0.000 3.308 3.308 3.308 0.000 3.308 3.308 3.308 0.000" Properties=species:S:1:pos:R:3 pbc="T T T"
Mn 1.654 1.654 1.654
Mn 4.962 4.962 4.962
W 0.000 0.000 0.000
F 3.308 3.308 3.308
```

Results
space-group type	Fm-3m, No. 225
energy above the most stable polymorph in this dataset	0.311	eV/atom

---

(17)
Below is a relaxed structure of MnW2F, with properties calculated at the PBE with a Hubbard U level.

Cell and atoms, written as extended XYZ:
```
4
Lattice="0.000 3.278 3.278 3.278 0.000 3.278 3.278 3.278 0.000" Properties=species:S:1:pos:R:3 pbc="T T T"
Mn 0.000 0.000 0.000
W 1.639 1.639 1.639
W 4.917 4.917 4.917
F 3.278 3.278 3.278
```

Results
space-group type	Fm-3m, No. 225
energy above the most stable polymorph in this dataset	0.000	eV/atom

---

(18)
Below is a relaxed structure of Mn4WF12, with properties calculated at the PBE with a Hubbard U level.

Cell and atoms, written as extended XYZ:
```
17
Lattice="-4.201 4.201 3.856 4.201 -4.201 3.856 4.201 4.201 -3.856" Properties=species:S:1:pos:R:3 pbc="T T T"
Mn 2.100 2.100 -1.928
Mn 2.100 -2.100 1.928
Mn -2.100 2.100 1.928
Mn 2.100 2.100 1.928
W 0.000 0.000 0.000
F 4.201 -2.455 2.609
F 1.746 0.000 1.247
F 6.656 0.000 1.247
F 2.526 2.526 0.000
F 1.675 -1.675 3.856
F 0.000 1.746 1.247
F 4.201 2.455 2.609
F -1.675 1.675 3.856
F 1.675 1.675 3.856
F -2.455 4.201 2.609
F 2.455 4.201 2.609
F 0.000 6.656 1.247
```

Results
space-group type	I4/mmm, No. 139
total DFT energy (no corrections)	-103.9	eV/cell

---

(19)
Below is a relaxed structure of MnWF2, with properties calculated at the PBE with a Hubbard U level.

Cell and atoms, written as extended XYZ:
```
8
Lattice="-2.925 2.925 5.048 2.925 -2.925 5.048 2.925 2.925 -5.048" Properties=species:S:1:pos:R:3 pbc="T T T"
Mn 0.000 0.000 0.000
Mn 0.000 2.925 2.524
W 2.925 0.000 2.524
W 0.000 0.000 5.048
F 0.649 1.463 1.262
F -1.463 2.276 3.786
F -0.649 4.388 1.262
F 1.463 3.575 3.786
```

Results
space-group type	I-42d, No. 122
energy above the most stable polymorph in this dataset	0.000	eV/atom

---

(20)
Below is a relaxed structure of MnW3F, with properties calculated at the PBE with a Hubbard U level.

Cell and atoms, written as extended XYZ:
```
5
Lattice="4.320 0.000 0.000 0.000 4.320 0.000 0.000 0.000 4.320" Properties=species:S:1:pos:R:3 pbc="T T T"
Mn 0.000 0.000 0.000
W 0.000 2.160 2.160
W 2.160 0.000 2.160
W 2.160 2.160 0.000
F 2.160 2.160 2.160
```

Results
space-group type	Pm-3m, No. 221
total DFT energy (no corrections)	-23.9	eV/cell

---

(21)
Below is a relaxed structure of MnWF2, with properties calculated at the PBE with a Hubbard U level.

Cell and atoms, written as extended XYZ:
```
4
Lattice="1.468 0.847 8.228 -1.468 0.847 8.228 0.000 -1.695 8.228" Properties=species:S:1:pos:R:3 pbc="T T T"
Mn 0.000 0.000 0.000
W 0.000 0.000 12.342
F 0.000 0.000 2.499
F 0.000 0.000 22.185
```

Results
space-group type	R-3m, No. 166
energy above the most stable polymorph in this dataset	0.163	eV/atom

---

(22)
Below is a relaxed structure of Mn3WF, with properties calculated at the PBE with a Hubbard U level.

Cell and atoms, written as extended XYZ:
```
5
Lattice="4.482 0.000 0.000 0.000 4.482 0.000 0.000 0.000 4.482" Properties=species:S:1:pos:R:3 pbc="T T T"
Mn 0.000 0.000 2.241
Mn 0.000 2.241 0.000
Mn 2.241 0.000 0.000
W 2.241 2.241 2.241
F 0.000 0.000 0.000
```

Results
space-group type	Pm-3m, No. 221
energy above the most stable polymorph in this dataset	0.000	eV/atom

---

(23)
Below is a relaxed structure of YMnF2, with properties calculated at the PBE with a Hubbard U level.

Cell and atoms, written as extended XYZ:
```
4
Lattice="0.000 3.160 3.160 3.160 0.000 3.160 3.160 3.160 0.000" Properties=species:S:1:pos:R:3 pbc="T T T"
Y 0.000 0.000 0.000
Mn 3.160 3.160 3.160
F 1.580 1.580 1.580
F 4.740 4.740 4.740
```

Results
space-group type	Fm-3m, No. 225
energy above the most stable polymorph in this dataset	0.460	eV/atom

---

(24)
Below is a relaxed structure of Y2MnF, with properties calculated at the PBE with a Hubbard U level.

Cell and atoms, written as extended XYZ:
```
4
Lattice="0.000 3.632 3.632 3.632 0.000 3.632 3.632 3.632 0.000" Properties=species:S:1:pos:R:3 pbc="T T T"
Y 1.816 1.816 1.816
Y 5.448 5.448 5.448
Mn 0.000 0.000 0.000
F 3.632 3.632 3.632
```

Results
space-group type	Fm-3m, No. 225
energy above the most stable polymorph in this dataset	0.538	eV/atom

---

(25)
Below is a relaxed structure of YMnF6, with properties calculated at the PBE with a Hubbard U level.

Cell and atoms, written as extended XYZ:
```
16
Lattice="5.004 0.000 0.000 0.000 5.004 0.000 0.000 0.000 7.983" Properties=species:S:1:pos:R:3 pbc="T T T"
Y 0.000 0.000 1.996
Y 0.000 0.000 5.988
Mn 2.502 2.502 0.000
Mn 2.502 2.502 3.992
F 0.953 0.953 0.000
F 0.953 4.051 3.992
F 1.490 1.490 2.744
F 1.490 1.490 5.240
F 1.490 3.514 1.248
F 1.490 3.514 6.735
F 3.514 1.490 1.248
F 3.514 1.490 6.735
F 3.514 3.514 2.744
F 3.514 3.514 5.240
F 4.051 0.953 3.992
F 4.051 4.051 0.000
```

Results
space-group type	P4_2/mcm, No. 132
total DFT energy (no corrections)	-101.8	eV/cell

---

(26)
Below is a relaxed structure of YMnF2, with properties calculated at the PBE with a Hubbard U level.

Cell and atoms, written as extended XYZ:
```
8
Lattice="-2.647 2.647 6.645 2.647 -2.647 6.645 2.647 2.647 -6.645" Properties=species:S:1:pos:R:3 pbc="T T T"
Y 0.000 0.000 0.000
Y 0.000 2.647 3.323
Mn 2.647 0.000 3.323
Mn 0.000 0.000 6.645
F 0.435 1.324 1.661
F -1.324 2.213 4.984
F -0.435 3.971 1.661
F 1.324 3.082 4.984
```

Results
space-group type	I-42d, No. 122
energy above the most stable polymorph in this dataset	0.000	eV/atom